Material: TbHo3Sn3
Method: DFT, PBE-GGA
State: optimized geometry

Calculated volume, Å³/f.u.: 193
ΔE_f, kJ/mol of formula units: -351
Mass density, g/cm³: 8.68
Calculated total energy, eV per cell: -68.02
DOS(E_F), states/eV/atom: 0.921
Size of the total moment, μB/f.u.: 0.00

CIF file:
```
data_TbHo3Sn3
_symmetry_space_group_name_H-M 'P 63/m'
_symmetry_Int_Tables_number 176
_symmetry_space_group_name_Hall '-P 6c'
_cell_length_a 9.0823
_cell_length_b 9.0823
_cell_length_c 5.4085
_cell_angle_alpha 90.00
_cell_angle_beta 90.00
_cell_angle_gamma 120.00
loop_
_atom_site_label
_atom_site_type_symbol
_atom_site_fract_x
_atom_site_fract_y
_atom_site_fract_z
Tb1 Tb 0.3333 0.6667 0.2500
Ho1 Ho 0.0057 0.7667 0.2500
Sn1 Sn 0.0758 0.6228 0.7500
```


Material: Tb12Ho7Sn
Method: DFT, PBE-GGA
State: optimized geometry

Calculated volume, Å³/f.u.: 662
ΔE_f, kJ/mol of formula units: 294
Mass density, g/cm³: 7.98
Calculated total energy, eV per cell: -265.68
DOS(E_F), states/eV/atom: 1.968
Size of the total moment, μB/f.u.: 0.00

CIF file:
```
data_Tb12Ho7Sn
_symmetry_space_group_name_H-M 'R -3'
_symmetry_Int_Tables_number 148
_symmetry_space_group_name_Hall '-R 3'
_cell_length_a 12.2194
_cell_length_b 12.2194
_cell_length_c 15.3497
_cell_angle_alpha 90.00
_cell_angle_beta 90.00
_cell_angle_gamma 120.00
loop_
_atom_site_label
_atom_site_type_symbol
_atom_site_fract_x
_atom_site_fract_y
_atom_site_fract_z
Tb1 Tb 0.0286 0.8418 0.3124
Tb2 Tb 0.0687 0.2574 0.9226
Ho1 Ho 0.0000 0.0000 0.5000
Ho2 Ho 0.0152 0.5742 0.2008
Sn1 Sn 0.0000 0.0000 0.0000
```


Material: TbHo2Sn2
Method: DFT, PBE-GGA
State: optimized geometry

Calculated volume, Å³/f.u.: 136
ΔE_f, kJ/mol of formula units: -271
Mass density, g/cm³: 8.84
Calculated total energy, eV per cell: -73.79
DOS(E_F), states/eV/atom: 0.696
Size of the total moment, μB/f.u.: 0.00

CIF file:
```
data_TbHo2Sn2
_symmetry_space_group_name_H-M 'R -3 m'
_symmetry_Int_Tables_number 166
_symmetry_space_group_name_Hall '-R 3 2"'
_cell_length_a 5.1961
_cell_length_b 5.1961
_cell_length_c 17.5025
_cell_angle_alpha 90.00
_cell_angle_beta 90.00
_cell_angle_gamma 120.00
loop_
_atom_site_label
_atom_site_type_symbol
_atom_site_fract_x
_atom_site_fract_y
_atom_site_fract_z
Tb1 Tb 0.0000 0.0000 0.0000
Ho1 Ho 0.0000 0.0000 0.2084
Sn1 Sn 0.0000 0.0000 0.4086
```


Material: Tb2HoSn2
Method: DFT, PBE-GGA
State: optimized geometry

Calculated volume, Å³/f.u.: 146
ΔE_f, kJ/mol of formula units: -299
Mass density, g/cm³: 8.21
Calculated total energy, eV per cell: -99.76
DOS(E_F), states/eV/atom: 0.669
Size of the total moment, μB/f.u.: 0.00

CIF file:
```
data_Tb2HoSn2
_symmetry_space_group_name_H-M 'C m c 21'
_symmetry_Int_Tables_number 36
_symmetry_space_group_name_Hall 'C 2c -2'
_cell_length_a 4.965
_cell_length_b 18.116
_cell_length_c 6.477
_cell_angle_alpha 90.00
_cell_angle_beta 90.00
_cell_angle_gamma 90.00
loop_
_atom_site_label
_atom_site_type_symbol
_atom_site_fract_x
_atom_site_fract_y
_atom_site_fract_z
Tb1 Tb 0.000 0.001 0.000
Tb2 Tb 0.000 0.190 0.252
Ho1 Ho 0.000 0.395 0.249
Sn1 Sn 0.000 0.195 0.753
Sn2 Sn 0.000 0.425 0.750
```


Material: Tb3HoSn
Method: DFT, PBE-GGA
State: optimized geometry

Calculated volume, Å³/f.u.: 162
ΔE_f, kJ/mol of formula units: 51
Mass density, g/cm³: 7.81
Calculated total energy, eV per cell: -87.76
DOS(E_F), states/eV/atom: 1.268
Size of the total moment, μB/f.u.: 0.00

CIF file:
```
data_Tb3HoSn
_symmetry_space_group_name_H-M 'I m a 2'
_symmetry_Int_Tables_number 46
_symmetry_space_group_name_Hall 'I 2 -2a'
_cell_length_a 11.354
_cell_length_b 8.378
_cell_length_c 6.795
_cell_angle_alpha 90.00
_cell_angle_beta 90.00
_cell_angle_gamma 90.00
loop_
_atom_site_label
_atom_site_type_symbol
_atom_site_fract_x
_atom_site_fract_y
_atom_site_fract_z
Tb1 Tb 0.031 0.235 0.000
Tb2 Tb 0.250 0.072 0.759
Ho1 Ho 0.250 0.747 0.532
Sn1 Sn 0.250 0.064 0.270
```


Material: TbHoSn
Method: DFT, PBE-GGA
State: optimized geometry

E above lowest polymorph, meV/atom: 763
Calculated volume, Å³/f.u.: 97
ΔE_f, kJ/mol of formula units: 49
Mass density, g/cm³: 7.58
Calculated total energy, eV per cell: -25.40
DOS(E_F), states/eV/atom: 1.559
Size of the total moment, μB/f.u.: 0.40

CIF file:
```
data_TbHoSn
_symmetry_space_group_name_H-M 'I 4 m m'
_symmetry_Int_Tables_number 107
_symmetry_space_group_name_Hall 'I 4 -2'
_cell_length_a 3.325
_cell_length_b 3.325
_cell_length_c 17.537
_cell_angle_alpha 90.00
_cell_angle_beta 90.00
_cell_angle_gamma 90.00
loop_
_atom_site_label
_atom_site_type_symbol
_atom_site_fract_x
_atom_site_fract_y
_atom_site_fract_z
Tb1 Tb 0.000 0.000 0.000
Ho1 Ho 0.000 0.000 0.198
Sn1 Sn 0.000 0.000 0.373
```


Material: Tb3HoSn3
Method: DFT, PBE-GGA
State: optimized geometry

Calculated volume, Å³/f.u.: 196
ΔE_f, kJ/mol of formula units: -342
Mass density, g/cm³: 8.47
Calculated total energy, eV per cell: -68.04
DOS(E_F), states/eV/atom: 0.821
Size of the total moment, μB/f.u.: 0.00

CIF file:
```
data_Tb3HoSn3
_symmetry_space_group_name_H-M 'P 63/m'
_symmetry_Int_Tables_number 176
_symmetry_space_group_name_Hall '-P 6c'
_cell_length_a 9.1300
_cell_length_b 9.1300
_cell_length_c 5.4207
_cell_angle_alpha 90.00
_cell_angle_beta 90.00
_cell_angle_gamma 120.00
loop_
_atom_site_label
_atom_site_type_symbol
_atom_site_fract_x
_atom_site_fract_y
_atom_site_fract_z
Tb1 Tb 0.0055 0.2406 0.2500
Ho1 Ho 0.3333 0.6667 0.2500
Sn1 Sn 0.0770 0.4554 0.7500
```


Material: Tb2Ho8Sn
Method: DFT, PBE-GGA
State: optimized geometry

Calculated volume, Å³/f.u.: 338
ΔE_f, kJ/mol of formula units: -109
Mass density, g/cm³: 8.62
Calculated total energy, eV per cell: -102.02
DOS(E_F), states/eV/atom: 1.381
Size of the total moment, μB/f.u.: 0.00

CIF file:
```
data_Tb2Ho8Sn
_symmetry_space_group_name_H-M 'C 1 2/m 1'
_symmetry_Int_Tables_number 12
_symmetry_space_group_name_Hall '-C 2y'
_cell_length_a 19.301
_cell_length_b 5.504
_cell_length_c 6.392
_cell_angle_alpha 90.00
_cell_angle_beta 95.02
_cell_angle_gamma 90.00
loop_
_atom_site_label
_atom_site_type_symbol
_atom_site_fract_x
_atom_site_fract_y
_atom_site_fract_z
Tb1 Tb 0.244 0.000 0.336
Ho1 Ho 0.044 0.000 0.265
Ho2 Ho 0.078 0.500 0.599
Ho3 Ho 0.154 0.000 0.805
Ho4 Ho 0.162 0.500 0.124
Sn1 Sn 0.000 0.500 0.000
```


Material: Tb8HoSn6
Method: DFT, PBE-GGA
State: optimized geometry

Calculated volume, Å³/f.u.: 462
ΔE_f, kJ/mol of formula units: -790
Mass density, g/cm³: 7.72
Calculated total energy, eV per cell: -221.47
DOS(E_F), states/eV/atom: 0.650
Size of the total moment, μB/f.u.: 0.00

CIF file:
```
data_Tb8HoSn6
_symmetry_space_group_name_H-M 'R -3'
_symmetry_Int_Tables_number 148
_symmetry_space_group_name_Hall '-R 3'
_cell_length_a 9.0592
_cell_length_b 9.0592
_cell_length_c 19.5038
_cell_angle_alpha 90.00
_cell_angle_beta 90.00
_cell_angle_gamma 120.00
loop_
_atom_site_label
_atom_site_type_symbol
_atom_site_fract_x
_atom_site_fract_y
_atom_site_fract_z
Tb1 Tb 0.0000 0.0000 0.1666
Tb2 Tb 0.0001 0.3340 0.3942
Ho1 Ho 0.0000 0.0000 0.5000
Sn1 Sn 0.0000 0.3322 0.5671
```


Material: Tb5HoSn4
Method: DFT, PBE-GGA
State: optimized geometry

Calculated volume, Å³/f.u.: 323
ΔE_f, kJ/mol of formula units: -310
Mass density, g/cm³: 7.38
Calculated total energy, eV per cell: -93.90
DOS(E_F), states/eV/atom: 0.810
Size of the total moment, μB/f.u.: 0.00

CIF file:
```
data_Tb5HoSn4
_symmetry_space_group_name_H-M 'C 1 2/m 1'
_symmetry_Int_Tables_number 12
_symmetry_space_group_name_Hall '-C 2y'
_cell_length_a 19.040
_cell_length_b 3.685
_cell_length_c 9.577
_cell_angle_alpha 90.00
_cell_angle_beta 106.11
_cell_angle_gamma 90.00
loop_
_atom_site_label
_atom_site_type_symbol
_atom_site_fract_x
_atom_site_fract_y
_atom_site_fract_z
Tb1 Tb 0.000 0.000 0.000
Tb2 Tb 0.165 0.500 0.317
Tb3 Tb 0.175 0.500 0.858
Ho1 Ho 0.000 0.000 0.500
Sn1 Sn 0.005 0.500 0.755
Sn2 Sn 0.168 0.000 0.588
```


Material: TbHoSn
Method: DFT, PBE-GGA
State: optimized geometry

E above lowest polymorph, meV/atom: 242
Calculated volume, Å³/f.u.: 87
ΔE_f, kJ/mol of formula units: -101
Mass density, g/cm³: 8.48
Calculated total energy, eV per cell: -14.26
DOS(E_F), states/eV/atom: 0.899
Size of the total moment, μB/f.u.: 0.00

CIF file:
```
data_TbHoSn
_symmetry_space_group_name_H-M 'P 3 m 1'
_symmetry_Int_Tables_number 156
_symmetry_space_group_name_Hall 'P 3 -2"'
_cell_length_a 5.0994
_cell_length_b 5.0994
_cell_length_c 3.8466
_cell_angle_alpha 90.00
_cell_angle_beta 90.00
_cell_angle_gamma 120.00
loop_
_atom_site_label
_atom_site_type_symbol
_atom_site_fract_x
_atom_site_fract_y
_atom_site_fract_z
Tb1 Tb 0.0000 0.0000 0.0000
Ho1 Ho 0.6667 0.3333 0.4458
Sn1 Sn 0.3333 0.6667 0.7017
```


Material: Tb4Ho3Sn4
Method: DFT, PBE-GGA
State: optimized geometry

Calculated volume, Å³/f.u.: 317
ΔE_f, kJ/mol of formula units: -373
Mass density, g/cm³: 8.40
Calculated total energy, eV per cell: -104.26
DOS(E_F), states/eV/atom: 0.993
Size of the total moment, μB/f.u.: 0.00

CIF file:
```
data_Tb4Ho3Sn4
_symmetry_space_group_name_H-M 'I m m m'
_symmetry_Int_Tables_number 71
_symmetry_space_group_name_Hall '-I 2 2'
_cell_length_a 3.596
_cell_length_b 5.123
_cell_length_c 34.462
_cell_angle_alpha 90.00
_cell_angle_beta 90.00
_cell_angle_gamma 90.00
loop_
_atom_site_label
_atom_site_type_symbol
_atom_site_fract_x
_atom_site_fract_y
_atom_site_fract_z
Tb1 Tb 0.000 0.000 0.093
Tb2 Tb 0.000 0.500 0.236
Ho1 Ho 0.000 0.000 0.356
Ho2 Ho 0.000 0.500 0.500
Sn1 Sn 0.000 0.000 0.182
Sn2 Sn 0.000 0.500 0.046
```